Entry 1:
# AlAgMo2, optimized geometry, DFT GGA-PBE
# - Calculated density: 8.34 Mg/m³
# - Density of states at the Fermi level: 2.8 states/eV/cell
# - Total DFT energy (no corrections): -6.823 eV per atom
# - Calculated formation energy: 0.2412 eV per atom
# - Magnetization: 0.000 Bohr magnetons per cell
data_AlAgMo2
_chemical_formula_sum 'Al1 Ag1 Mo2'
_cell_length_a 2.695
_cell_length_b 4.214
_cell_length_c 5.727
_cell_angle_alpha 90.00
_cell_angle_beta 90.00
_cell_angle_gamma 90.00
_symmetry_space_group_name_H-M 'P m m 2'
_symmetry_Int_Tables_number 25
loop_
_symmetry_equiv_pos_as_xyz
'x,y,z'
'-x,-y,z'
'-x,y,z'
'x,-y,z'
loop_
_atom_site_label
_atom_site_type_symbol
_atom_site_fract_x
_atom_site_fract_y
_atom_site_fract_z
_atom_site_occupancy
Al1 Al 0.000 0.000 0.000 1
Ag1 Ag 0.500 0.500 0.765 1
Mo1 Mo 0.000 0.000 0.482 1
Mo2 Mo 0.500 0.500 0.260 1

Entry 2:
# Cd5AsPd6, optimized geometry, DFT GGA-PBE
# - Calculated density: 10.20 Mg/m³
# - Density of states at the Fermi level: 9.4 states/eV/cell
# - Total DFT energy (no corrections): -3.740 eV per atom
# - Calculated formation energy: -0.3747 eV per atom
# - Magnetization: 0.000 Bohr magnetons per cell
data_Cd5AsPd6
_chemical_formula_sum 'Cd10 As2 Pd12'
_cell_length_a 8.174
_cell_length_b 13.443
_cell_length_c 4.526
_cell_angle_alpha 90.00
_cell_angle_beta 123.39
_cell_angle_gamma 90.00
_symmetry_space_group_name_H-M 'C 1 2/m 1'
_symmetry_Int_Tables_number 12
loop_
_symmetry_equiv_pos_as_xyz
'x,y,z'
'-x,-y,-z'
'-x,y,-z'
'x,-y,z'
'x+1/2,y+1/2,z'
'-x+1/2,-y+1/2,-z'
'-x+1/2,y+1/2,-z'
'x+1/2,-y+1/2,z'
loop_
_atom_site_label
_atom_site_type_symbol
_atom_site_fract_x
_atom_site_fract_y
_atom_site_fract_z
_atom_site_occupancy
Cd1 Cd 0.000 0.000 0.000 1
Cd2 Cd 0.000 0.160 0.500 1
Cd3 Cd 0.000 0.313 0.000 1
As1 As 0.000 0.500 0.500 1
Pd1 Pd 0.215 0.500 0.215 1
Pd2 Pd 0.228 0.345 0.728 1

Entry 3:
# BaNa2B2, optimized geometry, DFT GGA-PBE
# - Calculated density: 3.24 Mg/m³
# - Density of states at the Fermi level: 10.5 states/eV/cell
# - Total DFT energy (no corrections): -2.410 eV per atom
# - Calculated formation energy: 1.1731 eV per atom
# - Excess energy over the best structure of this formula in the dataset: 32 meV/atom
# - Magnetization: 0.000 Bohr magnetons per cell
data_BaNa2B2
_chemical_formula_sum 'Ba2 Na4 B4'
_cell_length_a 8.004
_cell_length_b 8.004
_cell_length_c 3.274
_cell_angle_alpha 90.00
_cell_angle_beta 90.00
_cell_angle_gamma 90.00
_symmetry_space_group_name_H-M 'P 4/m b m'
_symmetry_Int_Tables_number 127
_symmetry_space_group_name_Hall '-P 4 2ab'
loop_
_atom_site_label
_atom_site_type_symbol
_atom_site_fract_x
_atom_site_fract_y
_atom_site_fract_z
_atom_site_occupancy
Ba1 Ba 0.000 0.000 0.000 1
Na1 Na 0.116 0.384 0.000 1
B1 B 0.185 0.685 0.500 1

Entry 4:
# La2HoGe3Ir4, optimized geometry, DFT GGA-PBE
# - Calculated density: 11.76 Mg/m³
# - Density of states at the Fermi level: 6.0 states/eV/cell
# - Total DFT energy (no corrections): -7.196 eV per atom
# - Calculated formation energy: -0.8235 eV per atom
# - Magnetization: 0.000 Bohr magnetons per cell
data_La2HoGe3Ir4
_chemical_formula_sum 'La2 Ho1 Ge3 Ir4'
_cell_length_a 4.232
_cell_length_b 4.232
_cell_length_c 11.272
_cell_angle_alpha 90.00
_cell_angle_beta 90.00
_cell_angle_gamma 90.00
_symmetry_space_group_name_H-M 'P -4 m 2'
_symmetry_Int_Tables_number 115
loop_
_symmetry_equiv_pos_as_xyz
'x,y,z'
'y,-x,-z'
'-x,-y,z'
'-y,x,-z'
'-x,y,z'
'-y,-x,-z'
'x,-y,z'
'y,x,-z'
loop_
_atom_site_label
_atom_site_type_symbol
_atom_site_fract_x
_atom_site_fract_y
_atom_site_fract_z
_atom_site_occupancy
La1 La 0.000 0.500 0.234 1
Ho1 Ho 0.000 0.000 0.500 1
Ge1 Ge 0.000 0.500 0.880 1
Ge2 Ge 0.500 0.500 0.500 1
Ir1 Ir 0.000 0.000 0.000 1
Ir2 Ir 0.000 0.500 0.658 1
Ir3 Ir 0.500 0.500 0.000 1

Entry 5:
# Sr3Bi4Pt3, optimized geometry, DFT GGA-PBE
# - Calculated density: 9.85 Mg/m³
# - Density of states at the Fermi level: 32.5 states/eV/cell
# - Total DFT energy (no corrections): -4.522 eV per atom
# - Calculated formation energy: -0.6532 eV per atom
# - Magnetization: 0.000 Bohr magnetons per cell
data_Sr3Bi4Pt3
_chemical_formula_sum 'Sr12 Bi16 Pt12'
_cell_length_a 10.431
_cell_length_b 10.431
_cell_length_c 10.431
_cell_angle_alpha 90.00
_cell_angle_beta 90.00
_cell_angle_gamma 90.00
_symmetry_space_group_name_H-M 'I -4 3 d'
_symmetry_Int_Tables_number 220
_symmetry_space_group_name_Hall 'I -4bd 2c 3'
loop_
_atom_site_label
_atom_site_type_symbol
_atom_site_fract_x
_atom_site_fract_y
_atom_site_fract_z
_atom_site_occupancy
Sr1 Sr 0.000 0.250 0.875 1
Bi1 Bi 0.077 0.423 0.577 1
Pt1 Pt 0.000 0.250 0.375 1

Entry 6:
# Zr2ZnCu, optimized geometry, DFT GGA-PBE
# - Calculated density: 7.15 Mg/m³
# - Density of states at the Fermi level: 10.8 states/eV/cell
# - Total DFT energy (no corrections): -5.671 eV per atom
# - Calculated formation energy: -0.0545 eV per atom
# - Magnetization: 0.003 Bohr magnetons per cell
data_Zr2ZnCu
_chemical_formula_sum 'Zr4 Zn2 Cu2'
_cell_length_a 4.013
_cell_length_b 4.013
_cell_length_c 8.976
_cell_angle_alpha 90.00
_cell_angle_beta 90.00
_cell_angle_gamma 90.00
_symmetry_space_group_name_H-M 'I -4 m 2'
_symmetry_Int_Tables_number 119
_symmetry_space_group_name_Hall 'I -4 -2'
loop_
_atom_site_label
_atom_site_type_symbol
_atom_site_fract_x
_atom_site_fract_y
_atom_site_fract_z
_atom_site_occupancy
Zr1 Zr 0.000 0.000 0.000 1
Zr2 Zr 0.000 0.500 0.250 1
Zn1 Zn 0.000 0.000 0.500 1
Cu1 Cu 0.000 0.500 0.750 1

Entry 7:
# Pr6NdY4, optimized geometry, DFT GGA-PBE
# - Calculated density: 5.70 Mg/m³
# - Density of states at the Fermi level: 35.3 states/eV/cell
# - Total DFT energy (no corrections): -5.116 eV per atom
# - Calculated formation energy: 0.2755 eV per atom
# - Magnetization: 0.000 Bohr magnetons per cell
data_Pr6NdY4
_chemical_formula_sum 'Pr12 Nd2 Y8'
_cell_length_a 6.639
_cell_length_b 6.639
_cell_length_c 17.771
_cell_angle_alpha 90.00
_cell_angle_beta 90.00
_cell_angle_gamma 90.00
_symmetry_space_group_name_H-M 'I -4 2 m'
_symmetry_Int_Tables_number 121
_symmetry_space_group_name_Hall 'I -4 2'
loop_
_atom_site_label
_atom_site_type_symbol
_atom_site_fract_x
_atom_site_fract_y
_atom_site_fract_z
_atom_site_occupancy
Pr1 Pr 0.000 0.500 0.000 1
Pr2 Pr 0.178 0.178 0.134 1
Nd1 Nd 0.000 0.000 0.500 1
Y1 Y 0.186 0.186 0.322 1

Entry 8:
# KCu2Os, optimized geometry, DFT GGA-PBE
# - Calculated density: 8.98 Mg/m³
# - Density of states at the Fermi level: 4.3 states/eV/cell
# - Total DFT energy (no corrections): -4.371 eV per atom
# - Calculated formation energy: 0.7593 eV per atom
# - Excess energy over the best structure of this formula in the dataset: 139 meV/atom
# - Magnetization: 0.000 Bohr magnetons per cell
data_KCu2Os
_chemical_formula_sum 'K3 Cu6 Os3'
_cell_length_a 2.7601
_cell_length_b 2.7601
_cell_length_c 29.9730
_cell_angle_alpha 90.00
_cell_angle_beta 90.00
_cell_angle_gamma 120.00
_symmetry_space_group_name_H-M 'R -3 m'
_symmetry_Int_Tables_number 166
_symmetry_space_group_name_Hall '-R 3 2"'
loop_
_atom_site_label
_atom_site_type_symbol
_atom_site_fract_x
_atom_site_fract_y
_atom_site_fract_z
_atom_site_occupancy
K1 K 0.0000 0.0000 0.0000 1
Cu1 Cu 0.0000 0.0000 0.2372 1
Os1 Os 0.0000 0.0000 0.5000 1

What is the magnetization in the fourth record?
0.000 Bohr magnetons per cell